{
  "formula": "SrCoF",
  "functional": "PBE+U",
  "state": "optimized geometry",
  "cell": [[3.469, 0.066, 0.001], [-0.068, 3.468, 0.000], [-1.701, -1.767, 8.817]],
  "species": ["Co", "Sr", "Sr", "F", "F", "Co"],
  "fractional_positions": [[0.879, 0.082, 0.243], [0.231, 0.934, 0.945], [0.529, 0.232, 0.540], [0.679, 0.382, 0.841], [0.081, 0.784, 0.644], [0.379, 0.582, 0.243]],
  "final_energy_ev_per_fu": -13.4,
  "space_group": "I4/mmm (139)"
}